No. 1
Here is crystalline Zn2CrHg2 at its relaxed geometry from the Alexandria database. Energies are from GGA-PBE.

Unit cell a=4.1122 b=4.1122 c=12.3676 alpha=90.00 beta=90.00 gamma=90.00
Last column: nearest neighbours and their distance in Å.
Space group I4/mmm (No. 139)
One atom of each set of equivalent atoms:
1 Zn 0.0000 0.0000 0.0957 (multiplicity 4)  1 Zn 2.37
2 Cr 0.0000 0.0000 0.5000 (multiplicity 2)  8 Zn 3.14
3 Hg 0.0000 0.5000 0.2500 (multiplicity 4)  4 Zn 2.81, 4 Hg 2.91

Theoretical density (Mg/m³): 9.3
D(E_F) (states/eV/cell): 5.27
Energy (eV/cell): -20.9
Total moment (μB per cell): 8.73
Formation energy from the elements (meV per atom): 470

No. 2
Here is crystalline TcSbAsS2 at its relaxed geometry from the Alexandria database. Energies are from GGA-PBE.

Unit cell a=4.9443 b=4.9443 c=5.3435 alpha=90.00 beta=90.00 gamma=90.00
Last column: nearest neighbours and their distance in Å.
Space group P4/mmm (No. 123)
One atom of each set of equivalent atoms:
1 Tc 0.0000 0.0000 0.0000 (multiplicity 1)  2 Sb 2.67
2 Sb 0.0000 0.0000 0.5000 (multiplicity 1)  4 S 2.47, 2 Tc 2.67
3 As 0.5000 0.5000 0.0000 (multiplicity 1)  4 Tc 3.50, 8 S 3.64
4 S 0.0000 0.5000 0.5000 (multiplicity 2)  2 Sb 2.47

Theoretical density (Mg/m³): 4.6
D(E_F) (states/eV/cell): 5.07
ΔE_f (raw) (eV/atom): 1.31
Energy (eV/cell): -20.9
Total moment (μB per cell): 2.76

No. 3
Here is crystalline RbAuF3 at its relaxed geometry from the Alexandria database. Energies are from GGA-PBE.

Unit cell a=4.9322 b=4.9322 c=4.9322 alpha=90.00 beta=90.00 gamma=90.00
Last column: nearest neighbours and their distance in Å.
Space group Pm-3m (No. 221)
One atom of each set of equivalent atoms:
1 Rb 0.0000 0.0000 0.0000 (multiplicity 1)  6 F 2.47
2 Au 0.5000 0.5000 0.5000 (multiplicity 1)  12 F 3.49
3 F 0.0000 0.0000 0.5000 (multiplicity 3)  2 Rb 2.47

Theoretical density (Mg/m³): 4.7
D(E_F) (states/eV/cell): 2.43
ΔE_f (raw) (eV/atom): -0.65
Energy (eV/cell): -13.1
Total moment (μB per cell): 1.00